1.
VASP calculation (PBE) on an optimized crystal structure of Tb3PmRu.

As for the excess energy over the best structure of this formula in the dataset: 25.5 meV per atom. The energy relative to the elements comes out at -0.10 eV per atom. As for the total energy: -0.41783 Ry per atom.

It has space group P2_1/m (No. 11), with a = 4.9348 Å, b = 9.7070 Å, c = 6.5725 Å, α = 90.00°, β = 111.74° and γ = 90.00°. The inequivalent atoms are Tb at (0.1355, 0.0001, 0.2674), Tb at (0.3642, 0.2500, 0.7306), Pm at (0.3598, 0.7500, 0.7213) and Ru at (0.0043, 0.7500, 0.0074).

2.
VASP calculation (PBE) on an optimized crystal structure of CsMnRe2I.

As for the excess energy over the best structure of this formula in the dataset: 0.0 meV per atom. The formation energy from raw total energies comes out at 17.0 eV/f.u. As for the total energy: -0.28646 Ry per atom.

It has space group P4/mmm (No. 123), with a = 5.1339 Å, b = 5.1339 Å, c = 6.7024 Å, α = 90.00°, β = 90.00° and γ = 90.00°. The inequivalent atoms are Cs at (0.0000, 0.0000, 0.0000), Mn at (0.5000, 0.5000, 0.5000), Re at (0.0000, 0.5000, 0.0000) and I at (0.0000, 0.0000, 0.5000).

3.
VASP calculation (PBE) on an optimized crystal structure of YInSb.

The formation energy from raw total energies comes out at -0.6 eV/f.u. As for the total energy: -0.34125 Ry per atom.

It has space group F-43m (No. 216), with a = 7.3542 Å, b = 7.3542 Å, c = 7.3542 Å, α = 90.00°, β = 90.00° and γ = 90.00°. The inequivalent atoms are Y at (0.0000, 0.0000, 0.0000), In at (0.0000, 0.0000, 0.5000) and Sb at (0.2500, 0.2500, 0.7500).

4.
VASP calculation (PBE) on an optimized crystal structure of Tl2AgSb2Au7.

The formation energy from raw total energies comes out at 0.0 eV/f.u. As for the total energy: -0.23768 Ry per atom.

It has space group C2/m (No. 12), with a = 6.1645 Å, b = 6.0707 Å, c = 15.3826 Å, α = 90.00°, β = 97.05° and γ = 90.00°. The inequivalent atoms are Tl at (0.0760, 0.0000, 0.3904), Ag at (0.0000, 0.0000, 0.0000), Sb at (0.0686, 0.5000, 0.2420), Au at (0.0000, 0.5000, 0.0000), Au at (0.0692, 0.5000, 0.4203) and Au at (0.2116, 0.2485, 0.8703).

5.
VASP calculation (PBE) on an optimized crystal structure of NaSmCdGa.

The energy relative to the elements comes out at -0.24 eV per atom. As for the total energy: -0.20125 Ry per atom.

It has space group F-43m (No. 216), with a = 7.3083 Å, b = 7.3083 Å, c = 7.3083 Å, α = 90.00°, β = 90.00° and γ = 90.00°. The inequivalent atoms are Na at (0.0000, 0.0000, 0.0000), Sm at (0.0000, 0.0000, 0.5000), Cd at (0.2500, 0.2500, 0.7500) and Ga at (0.2500, 0.2500, 0.2500).

6.
VASP calculation (PBE) on an optimized crystal structure of SmY2Sc2.

As for the excess energy over the best structure of this formula in the dataset: 0.0 meV per atom. The energy relative to the elements comes out at 0.13 eV per atom. As for the total energy: -0.43624 Ry per atom.

It has space group Imma (No. 74), with a = 5.4653 Å, b = 6.7695 Å, c = 16.2032 Å, α = 90.00°, β = 90.00° and γ = 90.00°. The inequivalent atoms are Sm at (0.0000, 0.2500, 0.1272), Y at (0.0000, 0.2500, 0.4963), Y at (0.0000, 0.2500, 0.8765) and Sc at (0.0000, 0.0029, 0.6928).

7.
VASP calculation (PBE) on an optimized crystal structure of Pm2YHo.

As for the excess energy over the best structure of this formula in the dataset: 15.0 meV per atom. The energy relative to the elements comes out at 0.03 eV per atom. As for the total energy: -0.37546 Ry per atom.

It has space group Imm2 (No. 44), with a = 3.6620 Å, b = 11.5256 Å, c = 6.3326 Å, α = 90.00°, β = 90.00° and γ = 90.00°. The inequivalent atoms are Pm at (0.0000, 0.2487, 0.0000), Y at (0.0000, 0.0000, 0.3327) and Ho at (0.0000, 0.5000, 0.3314).

8.
VASP calculation (PBE) on an optimized crystal structure of CaSeF.

The formation energy from raw total energies comes out at -6.8 eV/f.u. As for the total energy: -0.34709 Ry per atom.

It has space group Amm2 (No. 38), with a = 3.3871 Å, b = 3.2288 Å, c = 11.0091 Å, α = 90.00°, β = 90.00° and γ = 90.00°. The inequivalent atoms are Ca at (0.0000, 0.0000, 0.0000), Se at (0.0000, 0.0000, 0.2700) and F at (0.5000, 0.0000, 0.5253).

9.
VASP calculation (PBE) on an optimized crystal structure of ScTiHgMo2.

The energy relative to the elements comes out at 1.74 eV per atom. As for the total energy: -0.40386 Ry per atom.

It has space group P4/mmm (No. 123), with a = 5.0975 Å, b = 5.0975 Å, c = 4.8539 Å, α = 90.00°, β = 90.00° and γ = 90.00°. The inequivalent atoms are Sc at (0.0000, 0.0000, 0.0000), Ti at (0.5000, 0.5000, 0.0000), Hg at (0.5000, 0.5000, 0.5000) and Mo at (0.0000, 0.5000, 0.5000).

10.
VASP calculation (PBE) on an optimized crystal structure of La3HoP4.

The energy relative to the elements comes out at -1.57 eV per atom. As for the total energy: -0.49172 Ry per atom.

It has space group P2/c (No. 13), with a = 7.2829 Å, b = 8.4213 Å, c = 7.2849 Å, α = 90.00°, β = 109.51° and γ = 90.00°. The inequivalent atoms are La at (0.0000, 0.1235, 0.2500), La at (0.0000, 0.3724, 0.7500), La at (0.5000, 0.3728, 0.2500), Ho at (0.5000, 0.1231, 0.7500), P at (0.2544, 0.3693, 0.5060) and P at (0.2610, 0.1190, 0.9992).

11.
VASP calculation (PBE) on an optimized crystal structure of CeY2Co3.

The energy relative to the elements comes out at -0.15 eV per atom. As for the total energy: -0.50323 Ry per atom.

It has space group Cmcm (No. 63), with a = 12.7730 Å, b = 7.5025 Å, c = 5.0201 Å, α = 90.00°, β = 90.00° and γ = 90.00°. The inequivalent atoms are Ce at (0.0000, 0.1692, 0.2500), Y at (0.1728, 0.3392, 0.7500), Co at (0.0000, 0.5000, 0.0000) and Co at (0.1522, 0.0000, 0.0000).

12.
VASP calculation (PBE) on an optimized crystal structure of Ce2SnSb.

As for the excess energy over the best structure of this formula in the dataset: 169.4 meV per atom. The formation energy from raw total energies comes out at -2.5 eV/f.u. As for the total energy: -0.41358 Ry per atom.

It has space group R3m (No. 160, hexagonal axes), with a = 4.4220 Å, b = 4.4220 Å, c = 23.2298 Å, α = 90.00°, β = 90.00° and γ = 120.00°. The inequivalent atoms are Ce at (0.0000, 0.0000, 0.0000), Ce at (0.0000, 0.0000, 0.1709), Sn at (0.0000, 0.0000, 0.4174) and Sb at (0.0000, 0.0000, 0.5872).